1.
{"formula": "Mg2ScReRh", "functional": "PBE", "state": "relaxed", "lattice": [[-0.029, -3.730, 2.916], [3.972, -1.707, -2.145], [2.689, 2.387, 3.079]], "species": ["Mg", "Sc", "Re", "Mg", "Rh"], "fractional_positions": [[0.000, 0.000, 0.500], [0.500, 0.500, 0.500], [0.000, 0.500, 0.000], [0.500, 0.000, 0.000], [0.000, 0.000, 0.000]]}



2.
{"formula": "LiGa4Cu3", "functional": "PBE", "state": "relaxed", "lattice": [[4.617, 0.000, 0.000], [0.000, 5.569, 0.000], [0.000, 0.000, 8.862]], "species": ["Li", "Ga", "Ga", "Cu", "Cu", "Ga", "Ga", "Cu", "Ga", "Li", "Ga", "Ga", "Cu", "Ga", "Cu", "Cu"], "fractional_positions": [[0.000, 0.500, 0.500], [0.500, 0.246, 0.000], [0.853, 0.249, 0.250], [0.000, 0.000, 0.500], [0.351, 0.500, 0.250], [0.853, 0.751, 0.250], [0.147, 0.751, 0.750], [0.000, 0.000, 0.000], [0.500, 0.754, 0.000], [0.000, 0.500, 0.000], [0.147, 0.249, 0.750], [0.500, 0.754, 0.500], [0.679, 0.000, 0.750], [0.500, 0.246, 0.500], [0.321, 0.000, 0.250], [0.649, 0.500, 0.750]]}



3.
{"formula": "Ac2SmCd12Ag3", "functional": "PBE", "state": "relaxed", "lattice": [[11.138, 2.277, 1.615], [7.481, 8.561, 1.615], [7.481, 4.354, 7.545]], "species": ["Cd", "Cd", "Cd", "Ag", "Ac", "Cd", "Cd", "Cd", "Ac", "Cd", "Cd", "Ag", "Cd", "Cd", "Sm", "Cd", "Ag", "Cd"], "fractional_positions": [[0.683, 0.683, 0.277], [0.453, 0.875, 0.875], [0.125, 0.125, 0.547], [0.500, 0.000, 0.000], [0.642, 0.642, 0.642], [0.125, 0.547, 0.125], [0.875, 0.453, 0.875], [0.317, 0.317, 0.723], [0.358, 0.358, 0.358], [0.683, 0.277, 0.683], [0.875, 0.875, 0.453], [0.000, 0.000, 0.500], [0.723, 0.317, 0.317], [0.277, 0.683, 0.683], [0.000, 0.000, 0.000], [0.547, 0.125, 0.125], [0.000, 0.500, 0.000], [0.317, 0.723, 0.317]]}



E for every record listed, in sequence, given in eV per cell: -26.67, -54.45, -33.03.
Size of the total moment for every record listed, in sequence, given in μB/f.u.: 0.213, 0.000, 0.000.
Formation enthalpy at 0 K for every record listed, in sequence, given in eV per atom: 0.53, -0.11, -0.03.